Computed, not measured: Pm3Mg3Co2 after structural relaxation at the PBE level of DFT.

```
Pm3Mg3Co2
1.0
3.8756 0.0000 -1.1244
-0.2629 5.2320 -0.9061
0.6100 0.2386 9.3436
Mg Co Pm
3 2 3
Direct
0.3609 0.9243 0.7219 Mg
0.6391 0.0757 0.2781 Mg
0.5000 0.5000 0.0000 Mg
0.2357 0.0940 0.4713 Co
0.7643 0.9060 0.5287 Co
0.8326 0.4169 0.6651 Pm
0.0000 0.0000 0.0000 Pm
0.1674 0.5831 0.3349 Pm
```

Summary:
- magnetic moment (μB/atom) = 0.1684
- distance to the lowest polymorph of the same formula (meV per atom) = 0.0
- energy relative to the elements (kJ/mol of atoms) = -5.5
- space group = No. 12